Record 1
The following is a DFT calculation (PBE) of crystalline CdCuPt3 at its relaxed geometry.

Magnetic moment, μB/cell: 0.00
Fermi-level density of states, states/eV per cell: 16.653
ΔE to the lowest computed polymorph, eV per atom: 0.000
Crystal system: orthorhombic
Formation enthalpy at 0 K, eV per atom: -0.181
VASP energy, eV/atom: -4.807
SG: Pnma, No. 62

abc: 3.9482 5.6733 14.0842
angles: 90.00 90.00 90.00
Closest atoms and distances in Å follow each position.
Fractional coordinates of all 20 atoms:
Pt1 0.7500 0.8888 0.8561  3 Cu 2.67-2.75, 6 Pt 2.77-2.87, 3 Cd 2.80-2.93
Pt2 0.7500 0.8574 0.4528  4 Cu 2.72-2.95, 3 Cd 2.76-2.84, 5 Pt 2.77-2.88
Pt3 0.2500 0.6112 0.3561  3 Cu 2.67-2.75, 6 Pt 2.77-2.87, 3 Cd 2.80-2.93
Pt4 0.2500 0.6359 0.7488  4 Cd 2.80-2.84, 7 Pt 2.84-2.87, 1 Cu 2.86
Pt5 0.7500 0.8641 0.2488  4 Cd 2.80-2.84, 7 Pt 2.84-2.87, 1 Cu 2.86
Pt6 0.7500 0.3888 0.6439  3 Cu 2.67-2.75, 6 Pt 2.77-2.87, 3 Cd 2.80-2.93
Pt7 0.2500 0.1359 0.7512  4 Cd 2.80-2.84, 7 Pt 2.84-2.87, 1 Cu 2.86
Pt8 0.7500 0.3641 0.2512  4 Cd 2.80-2.84, 7 Pt 2.84-2.87, 1 Cu 2.86
Pt9 0.2500 0.1426 0.5472  4 Cu 2.72-2.95, 3 Cd 2.76-2.84, 5 Pt 2.77-2.88
Pt10 0.2500 0.6426 0.9528  4 Cu 2.72-2.95, 3 Cd 2.76-2.84, 5 Pt 2.77-2.88
Pt11 0.2500 0.1112 0.1439  3 Cu 2.67-2.75, 6 Pt 2.77-2.87, 3 Cd 2.80-2.93
Pt12 0.7500 0.3574 0.0472  4 Cu 2.72-2.95, 3 Cd 2.76-2.84, 5 Pt 2.77-2.88
Cu1 0.2500 0.1219 0.9540  8 Pt 2.67-2.95, 2 Cu 2.74, 2 Cd 2.86
Cu2 0.7500 0.3781 0.4540  8 Pt 2.67-2.95, 2 Cu 2.74, 2 Cd 2.86
Cu3 0.2500 0.6219 0.5460  8 Pt 2.67-2.95, 2 Cu 2.74, 2 Cd 2.86
Cu4 0.7500 0.8781 0.0460  8 Pt 2.67-2.95, 2 Cu 2.74, 2 Cd 2.86
Cd1 0.2500 0.1169 0.3517  10 Pt 2.76-2.93, 2 Cu 2.86
Cd2 0.2500 0.6169 0.1483  10 Pt 2.76-2.93, 2 Cu 2.86
Cd3 0.7500 0.3831 0.8517  10 Pt 2.76-2.93, 2 Cu 2.86
Cd4 0.7500 0.8831 0.6483  10 Pt 2.76-2.93, 2 Cu 2.86

Record 2
The following is a DFT calculation (PBE) of crystalline Ac2PuIr2N6 at its relaxed geometry.

Magnetic moment, μB/cell: 3.09
Fermi-level density of states, states/eV per cell: 10.878
Uncorrected formation energy, eV/atom: -0.4437
Crystal system: trigonal
VASP energy, eV/atom: -8.646
SG: R-3m, No. 166

abc: 5.9277 5.9277 6.8078
angles: 64.19 64.19 60.00
Closest atoms and distances in Å follow each position.
Fractional coordinates of all 11 atoms:
Ir1 0.5995 0.5995 0.2015  3 N 1.87
Ir2 0.4005 0.4005 0.7985  3 N 1.87
N1 0.2212 0.7555 0.2678  1 Ir 1.87
N2 0.2445 0.7788 0.7322  1 Ir 1.87
N3 0.7555 0.7555 0.2678  1 Ir 1.87
N4 0.2445 0.2445 0.7322  1 Ir 1.87
N5 0.7555 0.2212 0.2678  1 Ir 1.87
N6 0.7788 0.2445 0.7322  1 Ir 1.87
Ac1 0.2157 0.2157 0.3528  9 N 2.74-3.01
Ac2 0.7843 0.7843 0.6472  9 N 2.74-3.01
Pu1 0.0000 0.0000 0.0000  6 N 2.24

Record 3
The following is a DFT calculation (PBE) of crystalline Pm2Mn2C3 at its relaxed geometry.

Magnetic moment, μB/cell: 0.36
Fermi-level density of states, states/eV per cell: 5.575
Crystal system: monoclinic
Formation enthalpy at 0 K, eV per atom: -0.235
VASP energy, eV/atom: -8.166
SG: C2/m, No. 12

abc: 3.4968 5.6604 5.3820
angles: 103.55 108.96 90.00
Closest atoms and distances in Å follow each position.
Fractional coordinates of all 7 atoms:
C1 0.2974 0.7112 0.5948  3 Mn 1.95-1.96
C2 0.7026 0.2888 0.4052  3 Mn 1.95-1.96
C3 0.0000 0.5000 0.0000  2 Mn 1.84
Mn1 0.1593 0.4003 0.3185  4 C 1.84-1.96
Mn2 0.8407 0.5997 0.6815  4 C 1.84-1.96
Pm1 0.3969 0.1835 0.7937  5 C 2.54-2.81
Pm2 0.6031 0.8165 0.2063  5 C 2.54-2.81